Record 1
# HgSb3Os

A relaxed HgSb3Os crystal (PBE, Alexandria via LeMat-Bulk).

Calculated values
Symmetry: No. 221
Final energy, eV per atom: -4.186

Unit cell a=5.206 b=5.206 c=5.206 alpha=90.00 beta=90.00 gamma=90.00
Element x y z (fractional)
Sb: 0.000 0.500 0.000
Sb: 0.000 0.000 0.500
Sb: 0.500 0.000 0.000
Hg: 0.500 0.500 0.500
Os: 0.000 0.000 0.000

---

Record 2
# TlFeAs

A relaxed TlFeAs crystal (PBE, Alexandria via LeMat-Bulk).

Calculated values
Symmetry: No. 160
Final energy, eV per atom: -4.946

Unit cell a=3.299 b=3.299 c=18.589 alpha=90.00 beta=90.00 gamma=120.00
Each line ends with the local moment (μB).
Element x y z (fractional)
Tl: 0.333 0.667 0.767  -0.03
Tl: 0.667 0.333 0.433  -0.03
Tl: 0.000 0.000 0.100  -0.03
As: 0.667 0.333 0.282  -0.08
As: 0.000 0.000 0.949  -0.08
As: 0.333 0.667 0.615  -0.08
Fe: 0.000 0.000 0.544  1.18
Fe: 0.333 0.667 0.211  1.18
Fe: 0.667 0.333 0.877  1.18

---

Record 3
# Dy4YHg2

A relaxed Dy4YHg2 crystal (PBE, Alexandria via LeMat-Bulk).

Calculated values
Symmetry: No. 166
Final energy, eV per atom: -3.608

Unit cell a=5.058 b=5.058 c=10.572 alpha=76.16 beta=76.16 gamma=60.00
Element x y z (fractional)
Dy: 0.703 0.703 0.892
Dy: 0.894 0.894 0.317
Dy: 0.297 0.297 0.108
Dy: 0.106 0.106 0.683
Hg: 0.399 0.399 0.803
Hg: 0.601 0.601 0.197
Y: 0.500 0.500 0.500

---

Record 4
# GaRh2Br

A relaxed GaRh2Br crystal (PBE, Alexandria via LeMat-Bulk).

Calculated values
Symmetry: No. 122
Final energy, eV per atom: -4.638

Unit cell a=4.257 b=4.257 c=8.545 alpha=75.58 beta=75.58 gamma=90.00
Element x y z (fractional)
Ga: 0.250 0.750 0.500
Ga: 0.500 0.500 0.000
Rh: 0.112 0.625 0.250
Rh: 0.375 0.362 0.750
Rh: 0.638 0.125 0.250
Rh: 0.875 0.888 0.750
Br: 0.750 0.250 0.500
Br: 0.000 0.000 0.000